Entry 1:
DFT (PBE) results for a geometry-optimized SrNbAg structure.

Computed properties:
Energy above the most stable polymorph in this dataset in kJ/mol of atoms: 80.4
VASP energy in eV/f.u.: -11.61

a = 4.1948 Å, b = 4.1948 Å, c = 8.3250 Å
α = 90.00°, β = 90.00°, γ = 90.00°
With the nearest neighbours (Å) after each atom.
Space group P4/nmm (No. 129, origin choice 2)
Asymmetric unit:
Sr  0.2500  0.7500  0.0000  4 Sr 2.97, 4 Ag 3.13
Nb  0.2500  0.2500  0.4087  1 Ag 2.60
Ag  0.2500  0.2500  0.7207  1 Nb 2.60

Entry 2:
DFT (PBE) results for a geometry-optimized SrNbAg structure.

Computed properties:
Energy above the most stable polymorph in this dataset in kJ/mol of atoms: 12.7
VASP energy in eV/f.u.: -13.72

a = 8.7339 Å, b = 3.5210 Å, c = 10.1822 Å
α = 90.00°, β = 90.00°, γ = 90.00°
With the nearest neighbours (Å) after each atom.
Space group Pnma (No. 62)
Asymmetric unit:
Sr  0.0793  0.2500  0.1766  5 Ag 3.16-3.34, 2 Sr 3.52
Nb  0.0923  0.2500  0.5476  2 Nb 2.58
Ag  0.2318  0.2500  0.8762  3 Nb 2.92-3.24, 2 Sr 3.16

Entry 3:
DFT (PBE) results for a geometry-optimized SrNbAg structure.

Computed properties:
Energy above the most stable polymorph in this dataset in kJ/mol of atoms: 63.5
VASP energy in eV/f.u.: -12.14

a = 5.0009 Å, b = 5.0009 Å, c = 6.8403 Å
α = 90.00°, β = 90.00°, γ = 120.00°
With the nearest neighbours (Å) after each atom.
Space group P6_3/mmc (No. 194)
Asymmetric unit:
Sr  0.0000  0.0000  0.0000  6 Nb 3.36, 6 Ag 3.36, 2 Sr 3.42
Nb  0.3333  0.6667  0.2500  3 Ag 2.89
Ag  0.3333  0.6667  0.7500  3 Nb 2.89

no.,ΔH_f (0 K) (meV per atom)
1,997
2,295
3,822